P | ! MgBeI2O, relaxed, DFT PBE; values from VASP
! Symmetry: P4/mmm, No. 123
! Magnetization in μB per cell: 0.00
&SYSTEM
  ibrav = 0, nat = 5, ntyp = 4
/
ATOMIC_SPECIES
Mg 24.30 Mg.upf
Be 9.01 Be.upf
I 126.90 I.upf
O 16.00 O.upf
CELL_PARAMETERS angstrom
6.709 0.000 0.000
0.000 6.709 0.000
0.000 0.000 2.960
ATOMIC_POSITIONS angstrom
Mg 0.000 0.000 0.000
Be 3.354 3.354 1.480
I 0.000 3.354 1.480
I 3.354 0.000 1.480
O 3.354 3.354 0.000

Q | ! MgBeI2O, relaxed, DFT PBE; values from VASP
! Symmetry: P4/mmm, No. 123
! Magnetization in μB per cell: 0.00
&SYSTEM
  ibrav = 0, nat = 5, ntyp = 4
/
ATOMIC_SPECIES
Mg 24.30 Mg.upf
Be 9.01 Be.upf
I 126.90 I.upf
O 16.00 O.upf
CELL_PARAMETERS angstrom
5.708 0.000 0.000
0.000 5.708 0.000
0.000 0.000 3.764
ATOMIC_POSITIONS angstrom
Mg 0.000 0.000 0.000
Be 2.854 2.854 1.882
I 0.000 2.854 0.000
I 2.854 0.000 0.000
O 0.000 0.000 1.882

Structures ranked by computed energy, the most stable listed first: P, Q.

P | ! MgBeIO2, relaxed, DFT PBE; values from VASP
! Symmetry: P4/mmm, No. 123
! Magnetization in μB per cell: 0.00
&SYSTEM
  ibrav = 0, nat = 5, ntyp = 4
/
ATOMIC_SPECIES
Mg 24.30 Mg.upf
Be 9.01 Be.upf
I 126.90 I.upf
O 16.00 O.upf
CELL_PARAMETERS angstrom
3.801 0.000 0.000
0.000 3.801 0.000
0.000 0.000 6.280
ATOMIC_POSITIONS angstrom
Mg 0.000 0.000 0.000
Be 1.901 1.901 3.140
I 0.000 0.000 3.140
O 0.000 1.901 0.000
O 1.901 0.000 0.000

Q | ! MgBeIO2, relaxed, DFT PBE; values from VASP
! Symmetry: P4/mmm, No. 123
! Magnetization in μB per cell: 0.00
&SYSTEM
  ibrav = 0, nat = 5, ntyp = 4
/
ATOMIC_SPECIES
Mg 24.30 Mg.upf
Be 9.01 Be.upf
I 126.90 I.upf
O 16.00 O.upf
CELL_PARAMETERS angstrom
3.739 0.000 0.000
0.000 3.739 0.000
0.000 0.000 5.307
ATOMIC_POSITIONS angstrom
Mg 0.000 0.000 0.000
Be 1.870 1.870 2.654
I 1.870 1.870 0.000
O 0.000 1.870 2.654
O 1.870 0.000 2.654

Structures ranked by computed energy, the most stable listed first: Q, P.

P | ! MgBeSbI2, relaxed, DFT PBE; values from VASP
! Symmetry: P4/mmm, No. 123
! Magnetization in μB per cell: 0.00
&SYSTEM
  ibrav = 0, nat = 5, ntyp = 4
/
ATOMIC_SPECIES
Mg 24.30 Mg.upf
Be 9.01 Be.upf
Sb 121.76 Sb.upf
I 126.90 I.upf
CELL_PARAMETERS angstrom
5.171 0.000 0.000
0.000 5.171 0.000
0.000 0.000 5.169
ATOMIC_POSITIONS angstrom
Mg 0.000 0.000 0.000
Be 0.000 0.000 2.584
Sb 2.585 2.585 0.000
I 0.000 2.585 2.584
I 2.585 0.000 2.584

Q | ! MgBeSbI2, relaxed, DFT PBE; values from VASP
! Symmetry: P4/mmm, No. 123
! Magnetization in μB per cell: 0.00
&SYSTEM
  ibrav = 0, nat = 5, ntyp = 4
/
ATOMIC_SPECIES
Mg 24.30 Mg.upf
Be 9.01 Be.upf
Sb 121.76 Sb.upf
I 126.90 I.upf
CELL_PARAMETERS angstrom
5.255 0.000 0.000
0.000 5.255 0.000
0.000 0.000 5.163
ATOMIC_POSITIONS angstrom
Mg 0.000 0.000 0.000
Be 2.628 2.628 2.582
Sb 2.628 2.628 0.000
I 0.000 2.628 2.582
I 2.628 0.000 2.582

Structures ranked by computed energy, the most stable listed first: Q, P.

P | ! MgBeSb2I, relaxed, DFT PBE; values from VASP
! Symmetry: P4/mmm, No. 123
! Magnetization in μB per cell: 0.00
&SYSTEM
  ibrav = 0, nat = 5, ntyp = 4
/
ATOMIC_SPECIES
Mg 24.30 Mg.upf
Be 9.01 Be.upf
Sb 121.76 Sb.upf
I 126.90 I.upf
CELL_PARAMETERS angstrom
5.524 0.000 0.000
0.000 5.524 0.000
0.000 0.000 4.846
ATOMIC_POSITIONS angstrom
Mg 0.000 0.000 0.000
Be 0.000 0.000 2.423
Sb 0.000 2.762 0.000
Sb 2.762 0.000 0.000
I 2.762 2.762 2.423

Q | ! MgBeSb2I, relaxed, DFT PBE; values from VASP
! Symmetry: P4/mmm, No. 123
! Magnetization in μB per cell: 0.00
&SYSTEM
  ibrav = 0, nat = 5, ntyp = 4
/
ATOMIC_SPECIES
Mg 24.30 Mg.upf
Be 9.01 Be.upf
Sb 121.76 Sb.upf
I 126.90 I.upf
CELL_PARAMETERS angstrom
4.862 0.000 0.000
0.000 4.862 0.000
0.000 0.000 5.745
ATOMIC_POSITIONS angstrom
Mg 0.000 0.000 0.000
Be 2.431 2.431 2.873
Sb 0.000 2.431 2.873
Sb 2.431 0.000 2.873
I 2.431 2.431 0.000

R | ! MgBeSb2I, relaxed, DFT PBE; values from VASP
! Symmetry: P4/mmm, No. 123
! Magnetization in μB per cell: 0.03
&SYSTEM
  ibrav = 0, nat = 5, ntyp = 4
/
ATOMIC_SPECIES
Mg 24.30 Mg.upf
Be 9.01 Be.upf
Sb 121.76 Sb.upf
I 126.90 I.upf
CELL_PARAMETERS angstrom
5.465 0.000 0.000
0.000 5.465 0.000
0.000 0.000 5.553
ATOMIC_POSITIONS angstrom
Mg 0.000 0.000 0.000
Be 2.733 2.733 2.777
Sb 0.000 2.733 0.000
Sb 2.733 0.000 0.000
I 0.000 0.000 2.777

Structures ranked by computed energy, the most stable listed first: Q, P, R.

P | ! MgBeTeI2, relaxed, DFT PBE; values from VASP
! Symmetry: P4/mmm, No. 123
! Magnetization in μB per cell: 0.00
&SYSTEM
  ibrav = 0, nat = 5, ntyp = 4
/
ATOMIC_SPECIES
Mg 24.30 Mg.upf
Be 9.01 Be.upf
Te 127.60 Te.upf
I 126.90 I.upf
CELL_PARAMETERS angstrom
5.199 0.000 0.000
0.000 5.199 0.000
0.000 0.000 5.348
ATOMIC_POSITIONS angstrom
Mg 0.000 0.000 0.000
Be 2.599 2.599 2.674
Te 2.599 2.599 0.000
I 0.000 2.599 2.674
I 2.599 0.000 2.674

Q | ! MgBeTeI2, relaxed, DFT PBE; values from VASP
! Symmetry: P4/mmm, No. 123
! Magnetization in μB per cell: 0.00
&SYSTEM
  ibrav = 0, nat = 5, ntyp = 4
/
ATOMIC_SPECIES
Mg 24.30 Mg.upf
Be 9.01 Be.upf
Te 127.60 Te.upf
I 126.90 I.upf
CELL_PARAMETERS angstrom
5.581 0.000 0.000
0.000 5.581 0.000
0.000 0.000 5.736
ATOMIC_POSITIONS angstrom
Mg 0.000 0.000 0.000
Be 2.790 2.790 2.868
Te 0.000 0.000 2.868
I 0.000 2.790 0.000
I 2.790 0.000 0.000

Structures ranked by computed energy, the most stable listed first: P, Q.

P | ! MgBeTe2I, relaxed, DFT PBE; values from VASP
! Symmetry: P4/mmm, No. 123
! Magnetization in μB per cell: 0.00
&SYSTEM
  ibrav = 0, nat = 5, ntyp = 4
/
ATOMIC_SPECIES
Mg 24.30 Mg.upf
Be 9.01 Be.upf
Te 127.60 Te.upf
I 126.90 I.upf
CELL_PARAMETERS angstrom
4.837 0.000 0.000
0.000 4.837 0.000
0.000 0.000 6.210
ATOMIC_POSITIONS angstrom
Mg 0.000 0.000 0.000
Be 2.419 2.419 3.105
Te 0.000 2.419 3.105
Te 2.419 0.000 3.105
I 2.419 2.419 0.000

Q | ! MgBeTe2I, relaxed, DFT PBE; values from VASP
! Symmetry: P4/mmm, No. 123
! Magnetization in μB per cell: 0.00
&SYSTEM
  ibrav = 0, nat = 5, ntyp = 4
/
ATOMIC_SPECIES
Mg 24.30 Mg.upf
Be 9.01 Be.upf
Te 127.60 Te.upf
I 126.90 I.upf
CELL_PARAMETERS angstrom
5.542 0.000 0.000
0.000 5.542 0.000
0.000 0.000 5.522
ATOMIC_POSITIONS angstrom
Mg 0.000 0.000 0.000
Be 2.771 2.771 2.761
Te 0.000 2.771 0.000
Te 2.771 0.000 0.000
I 0.000 0.000 2.761

Structures ranked by computed energy, the most stable listed first: P, Q.

P | ! MnBeI3, relaxed, DFT PBE; values from VASP
! Symmetry: Pm-3m, No. 221
! Magnetization in μB per cell: 0.19
&SYSTEM
  ibrav = 0, nat = 5, ntyp = 3
/
ATOMIC_SPECIES
Mn 54.94 Mn.upf
Be 9.01 Be.upf
I 126.90 I.upf
CELL_PARAMETERS angstrom
5.319 0.000 0.000
0.000 5.319 0.000
0.000 0.000 5.319
ATOMIC_POSITIONS angstrom
Mn 0.000 0.000 0.000
Be 2.659 2.659 2.659
I 0.000 0.000 2.659
I 0.000 2.659 0.000
I 2.659 0.000 0.000

Q | ! MnBeI3, relaxed, DFT PBE; values from VASP
! Symmetry: Pm-3m, No. 221
! Magnetization in μB per cell: 5.79
&SYSTEM
  ibrav = 0, nat = 5, ntyp = 3
/
ATOMIC_SPECIES
Mn 54.94 Mn.upf
Be 9.01 Be.upf
I 126.90 I.upf
CELL_PARAMETERS angstrom
5.316 0.000 0.000
0.000 5.316 0.000
0.000 0.000 5.316
ATOMIC_POSITIONS angstrom
Mn 0.000 0.000 0.000
Be 2.658 2.658 2.658
I 0.000 2.658 2.658
I 2.658 0.000 2.658
I 2.658 2.658 0.000

Structures ranked by computed energy, the most stable listed first: Q, P.

P | ! Mn3BeI, relaxed, DFT PBE; values from VASP
! Symmetry: Pm-3m, No. 221
! Magnetization in μB per cell: 9.11
&SYSTEM
  ibrav = 0, nat = 5, ntyp = 3
/
ATOMIC_SPECIES
Mn 54.94 Mn.upf
Be 9.01 Be.upf
I 126.90 I.upf
CELL_PARAMETERS angstrom
4.770 0.000 0.000
0.000 4.770 0.000
0.000 0.000 4.770
ATOMIC_POSITIONS angstrom
Mn 0.000 0.000 2.385
Mn 0.000 2.385 0.000
Mn 2.385 0.000 0.000
Be 2.385 2.385 2.385
I 0.000 0.000 0.000

Q | ! Mn3BeI, relaxed, DFT PBE; values from VASP
! Symmetry: Pm-3m, No. 221
! Magnetization in μB per cell: 10.13
&SYSTEM
  ibrav = 0, nat = 5, ntyp = 3
/
ATOMIC_SPECIES
Mn 54.94 Mn.upf
Be 9.01 Be.upf
I 126.90 I.upf
CELL_PARAMETERS angstrom
4.342 0.000 0.000
0.000 4.342 0.000
0.000 0.000 4.342
ATOMIC_POSITIONS angstrom
Mn 0.000 0.000 2.171
Mn 0.000 2.171 0.000
Mn 2.171 0.000 0.000
Be 0.000 0.000 0.000
I 2.171 2.171 2.171

Structures ranked by computed energy, the most stable listed first: Q, P.

P | ! MnBe3I, relaxed, DFT PBE; values from VASP
! Symmetry: Pm-3m, No. 221
! Magnetization in μB per cell: 4.04
&SYSTEM
  ibrav = 0, nat = 5, ntyp = 3
/
ATOMIC_SPECIES
Mn 54.94 Mn.upf
Be 9.01 Be.upf
I 126.90 I.upf
CELL_PARAMETERS angstrom
4.725 0.000 0.000
0.000 4.725 0.000
0.000 0.000 4.725
ATOMIC_POSITIONS angstrom
Mn 0.000 0.000 0.000
Be 0.000 2.363 2.363
Be 2.363 0.000 2.363
Be 2.363 2.363 0.000
I 2.363 2.363 2.363

Q | ! MnBe3I, relaxed, DFT PBE; values from VASP
! Symmetry: Pm-3m, No. 221
! Magnetization in μB per cell: 2.41
&SYSTEM
  ibrav = 0, nat = 5, ntyp = 3
/
ATOMIC_SPECIES
Mn 54.94 Mn.upf
Be 9.01 Be.upf
I 126.90 I.upf
CELL_PARAMETERS angstrom
4.388 0.000 0.000
0.000 4.388 0.000
0.000 0.000 4.388
ATOMIC_POSITIONS angstrom
Mn 0.000 0.000 0.000
Be 0.000 0.000 2.194
Be 0.000 2.194 0.000
Be 2.194 0.000 0.000
I 2.194 2.194 2.194

Structures ranked by computed energy, the most stable listed first: Q, P.